AcNd2HoTm | PBE | relaxed

## Properties
M_tot in μB/atom: 0.00
Energy of formation from the pure elements in meV per atom: 46
E_tot in eV/atom: -4.49

abc: 6.436 5.892 9.845
angles: 90.00 108.78 90.00
Positions (direct):
Ac  0.137  0.250  0.105
Ac  0.863  0.750  0.895
Nd  0.267  0.750  0.700
Nd  0.338  0.250  0.502
Nd  0.662  0.750  0.498
Nd  0.733  0.250  0.300
Ho  0.477  0.750  0.105
Ho  0.523  0.250  0.895
Tm  0.065  0.750  0.308
Tm  0.935  0.250  0.692